Compound: ZrInRu2
Source: Alexandria via LeMat-Bulk
Functional: PBE-GGA
Structure: optimized geometry

Unit cell a=5.329 b=5.329 c=5.329 alpha=137.20 beta=137.20 gamma=62.13
Atoms (fractional coordinates):
Zr 0.500 0.500 0.000
In 0.750 0.250 0.500
Ru 0.250 0.750 0.500
Ru 0.000 0.000 0.000

calculated formation energy = -0.188 eV per atom
E_tot = -7.647 eV per atom
total magnetization = 0.0 μB per formula unit
mass density = 9.82 Mg/m³